Version 1
The following is a DFT calculation (PBE-GGA) of Ba2NaSrBr after structural relaxation.

Cell lengths 6.573, 6.573, 6.107 Å; angles 90.00, 90.00, 90.00 degrees
Space group P4/mmm (No. 123)
Unique sites:
1 Ba 0.000 0.500 0.000 [2 per cell]
2 Na 0.000 0.000 0.500 [1 per cell]
3 Sr 0.500 0.500 0.500 [1 per cell]
4 Br 0.500 0.500 0.000 [1 per cell]

Version 2
The following is a DFT calculation (PBE-GGA) of Ba2NaSrBr after structural relaxation.

Cell lengths 6.637, 6.637, 5.923 Å; angles 90.00, 90.00, 90.00 degrees
Space group P4/mmm (No. 123)
Unique sites:
1 Ba 0.000 0.500 0.000 [2 per cell]
2 Na 0.000 0.000 0.500 [1 per cell]
3 Sr 0.500 0.500 0.500 [1 per cell]
4 Br 0.000 0.000 0.000 [1 per cell]

List of relative energies, unit eV/atom: version 1 0.038; version 2 0.000

Version 1
The following is a DFT calculation (PBE-GGA) of BaNb3Br after structural relaxation.

Cell lengths 4.982, 4.982, 4.982 Å; angles 90.00, 90.00, 90.00 degrees
Space group Pm-3m (No. 221)
Unique sites:
1 Ba 0.000 0.000 0.000 [1 per cell]
2 Nb 0.000 0.500 0.500 [3 per cell]
3 Br 0.500 0.500 0.500 [1 per cell]

Version 2
The following is a DFT calculation (PBE-GGA) of BaNb3Br after structural relaxation.

Cell lengths 5.174, 5.174, 5.174 Å; angles 90.00, 90.00, 90.00 degrees
Space group Pm-3m (No. 221)
Unique sites:
1 Ba 0.000 0.000 0.000 [1 per cell]
2 Nb 0.000 0.000 0.500 [3 per cell]
3 Br 0.500 0.500 0.500 [1 per cell]

List of relative energies, unit eV/atom: version 1 0.000; version 2 1.488

Version 1
The following is a DFT calculation (PBE-GGA) of Ba2NbBr after structural relaxation.

Cell lengths 8.916, 8.916, 9.059 Å; angles 90.00, 90.00, 90.00 degrees
Space group I-42d (No. 122)
Unique sites:
1 Ba 0.233 0.250 0.125 [8 per cell]
2 Nb 0.000 0.000 0.500 [4 per cell]
3 Br 0.000 0.000 0.000 [4 per cell]

Version 2
The following is a DFT calculation (PBE-GGA) of Ba2NbBr after structural relaxation.

Cell lengths 8.473, 8.473, 8.473 Å; angles 90.00, 90.00, 90.00 degrees
Space group Fm-3m (No. 225)
Unique sites:
1 Ba 0.250 0.250 0.250 [8 per cell]
2 Nb 0.000 0.000 0.000 [4 per cell]
3 Br 0.000 0.000 0.500 [4 per cell]

List of relative energies, unit eV/atom: version 1 0.024; version 2 0.000

Version 1
The following is a DFT calculation (PBE-GGA) of BaNbSe2Br after structural relaxation.

Cell lengths 6.072, 6.072, 5.926 Å; angles 90.00, 90.00, 90.00 degrees
Space group P4/mmm (No. 123)
Unique sites:
1 Ba 0.000 0.000 0.000 [1 per cell]
2 Nb 0.500 0.500 0.500 [1 per cell]
3 Se 0.000 0.500 0.000 [2 per cell]
4 Br 0.000 0.000 0.500 [1 per cell]

Version 2
The following is a DFT calculation (PBE-GGA) of BaNbSe2Br after structural relaxation.

Cell lengths 5.140, 5.140, 5.308 Å; angles 90.00, 90.00, 90.00 degrees
Space group P4/mmm (No. 123)
Unique sites:
1 Ba 0.000 0.000 0.000 [1 per cell]
2 Nb 0.500 0.500 0.500 [1 per cell]
3 Se 0.000 0.500 0.500 [2 per cell]
4 Br 0.500 0.500 0.000 [1 per cell]

List of relative energies, unit eV/atom: version 1 1.662; version 2 0.000